Entry from Alexandria: a relaxed Ta2IrRh crystal (PBEsol).

Cell lengths 2.8443, 3.8282, 5.6872 Å; angles 90.00, 90.00, 90.00 degrees
Closest atoms and distances in Å follow each position.
Positions (direct):
Ta 0.0001 0.0000 0.2495  4 Ir 2.77-2.78, 4 Rh 2.78, 4 Ta 2.84-2.85
Ta 0.9999 0.0000 0.7505  4 Ir 2.77-2.78, 4 Rh 2.78, 4 Ta 2.84-2.85
Ir 0.5000 0.5000 0.0000  8 Ta 2.77-2.78, 2 Rh 2.84, 2 Ir 2.84
Rh 0.5000 0.5000 0.5000  8 Ta 2.78, 2 Ir 2.84, 2 Rh 2.84

Computed properties:
formation enthalpy at 0 K = -0.544 eV per atom
M_tot = 0.00 μB/cell
VASP energy = -45.24 eV/cell
DOS at the Fermi energy = 2.705 states/eV/f.u.

---

Entry from Alexandria: a relaxed TaIrRh2 crystal (PBEsol).

Cell lengths 2.7968, 4.6745, 4.6860 Å; angles 108.75, 90.00, 90.00 degrees
Closest atoms and distances in Å follow each position.
Positions (direct):
Ta 0.5000 0.5000 0.0000  6 Rh 2.72-2.73, 4 Ir 2.73, 2 Ta 2.80
Rh 0.5000 0.0000 0.5000  4 Ir 2.72, 2 Ta 2.73, 6 Rh 2.73-2.80
Ir 0.0000 0.5000 0.5000  6 Rh 2.72-2.73, 4 Ta 2.73, 2 Ir 2.80
Rh 0.0000 0.0000 0.0000  4 Ta 2.72, 2 Ir 2.73, 6 Rh 2.73-2.80

Computed properties:
formation enthalpy at 0 K = -0.398 eV per atom
M_tot = 0.00 μB/cell
VASP energy = -40.24 eV/cell
DOS at the Fermi energy = 3.095 states/eV/f.u.

---

Entry from Alexandria: a relaxed Tc2IrRh crystal (PBEsol).

Cell lengths 2.6907, 4.3064, 4.7357 Å; angles 90.00, 90.00, 90.00 degrees
Closest atoms and distances in Å follow each position.
Positions (direct):
Ir 0.5000 0.0000 0.5407  8 Tc 2.67-2.73, 2 Rh 2.67, 2 Ir 2.69
Rh 0.5000 0.5000 0.2067  8 Tc 2.66-2.75, 2 Ir 2.67, 2 Rh 2.69
Tc 0.0000 0.5000 0.7133  4 Tc 2.65-2.69, 4 Ir 2.67, 4 Rh 2.70-2.75
Tc 0.0000 0.0000 0.0393  4 Tc 2.65-2.69, 4 Rh 2.66, 4 Ir 2.72-2.73

Computed properties:
formation enthalpy at 0 K = -0.260 eV per atom
M_tot = 0.00 μB/cell
VASP energy = -41.53 eV/cell
DOS at the Fermi energy = 2.590 states/eV/f.u.

---

> The highest formation enthalpy at 0 K belongs to which entry?

Tc2IrRh